# 1
First-principles (PBE) data for a relaxed structure of Li3Y2AlS6, as listed in Alexandria.

Cell and atoms, written as POSCAR:
```
Li3Y2AlS6
1.0
6.5939 -0.0097 0.0150
-3.3037 5.7065 0.0150
-1.0838 -1.8767 6.1299
Y Li S Al
2 3 6 1
Direct
0.6680 0.3320 0.0000
0.3320 0.6680 0.0000
0.5000 0.5000 0.5000
0.8470 0.1530 0.5000
0.1530 0.8470 0.5000
0.7712 0.7712 0.2360
0.0795 0.3844 0.2422
0.2288 0.2288 0.7640
0.6156 0.9205 0.7578
0.9205 0.6156 0.7578
0.3844 0.0795 0.2422
0.0000 0.0000 0.0000
```

Formation energy from raw total energies ... -1.60 eV/atom


# 2
First-principles (PBE) data for a relaxed structure of Lu2CrIn, as listed in Alexandria.

Cell and atoms, written as POSCAR:
```
Lu2CrIn
1.0
-0.4073 0.1100 3.5099
-0.4909 -3.5005 0.0528
7.2794 -1.0077 0.8763
In Lu Cr
1 2 1
Direct
0.5000 0.5000 0.5000
0.0000 0.0000 0.7732
0.0000 0.0000 0.2268
0.5000 0.5000 0.0000
```

E_form ... -79 meV per atom


# 3
First-principles (PBE) data for a relaxed structure of Nd12YHo7, as listed in Alexandria.

Cell and atoms, written as POSCAR:
```
Nd12YHo7
1.0
-7.9167 -0.3726 3.9567
0.6258 -8.7053 1.5149
3.4421 1.1614 8.0791
Nd Ho Y
12 7 1
Direct
0.7744 0.2435 0.6504
0.2256 0.7565 0.3496
0.1018 0.3467 0.4214
0.6533 0.5786 0.8982
0.3496 0.2256 0.7565
0.6504 0.7744 0.2435
0.5786 0.8982 0.6533
0.4214 0.1018 0.3467
0.8982 0.6533 0.5786
0.2435 0.6504 0.7744
0.3467 0.4214 0.1018
0.7565 0.3496 0.2256
0.6380 0.1153 0.9947
0.1153 0.9947 0.6380
0.0053 0.3620 0.8847
0.8847 0.0053 0.3620
0.5000 0.5000 0.5000
0.3620 0.8847 0.0053
0.9947 0.6380 0.1153
0.0000 0.0000 0.0000
```

E above lowest polymorph ... 0 meV/atom
E_form ... 221 meV per atom


# 4
First-principles (PBE) data for a relaxed structure of Al4ZnGa, as listed in Alexandria.

Cell and atoms, written as POSCAR:
```
Al4ZnGa
1.0
-3.8828 -3.1920 1.8329
0.5280 -2.3961 4.7544
-3.0186 1.5610 4.1323
Al Ga Zn
4 1 1
Direct
0.6247 0.6247 0.1260
0.6247 0.1260 0.6247
0.6247 0.6247 0.6247
0.1260 0.6247 0.6247
0.0000 0.0000 0.0000
0.2500 0.2500 0.2500
```

E above lowest polymorph ... 171 meV/atom
E_form ... 203 meV per atom


# 5
First-principles (PBE) data for a relaxed structure of SrLiCd3, as listed in Alexandria.

Cell and atoms, written as POSCAR:
```
SrLiCd3
1.0
7.0820 0.0000 0.0000
-3.5410 6.1331 0.0000
0.0000 0.0000 11.9505
Cd Sr Li
12 4 4
Direct
0.1422 0.2845 0.7500
0.5000 0.0000 0.5000
0.2845 0.1423 0.2500
0.0000 0.5000 0.5000
0.8578 0.1423 0.2500
0.5000 0.0000 0.0000
0.0000 0.5000 0.0000
0.5000 0.5000 0.5000
0.7155 0.8577 0.7500
0.8578 0.7155 0.2500
0.5000 0.5000 0.0000
0.1422 0.8577 0.7500
0.0000 0.0000 0.0000
0.6667 0.3333 0.7500
0.0000 0.0000 0.5000
0.3333 0.6667 0.2500
0.6667 0.3333 0.3607
0.6667 0.3333 0.1393
0.3333 0.6667 0.8607
0.3333 0.6667 0.6393
```

E above lowest polymorph ... 33 meV/atom
E_form ... -193 meV per atom


# 6
First-principles (PBE) data for a relaxed structure of CeTeH, as listed in Alexandria.

Cell and atoms, written as POSCAR:
```
CeTeH
1.0
-3.4144 -0.1665 -3.1876
0.5452 -4.6423 0.0044
-5.7939 -2.9115 3.1048
Ce Te H
2 2 2
Direct
0.2414 0.1816 0.4344
0.5671 0.5073 0.7826
0.4042 0.8445 0.1085
0.9042 0.3444 0.1085
0.1542 0.5944 0.6085
0.6543 0.0944 0.6085
```

Raw total energy ... -4.714 eV per atom